No. 1
# TiMoN3

A relaxed TiMoN3 crystal (PBE, the Alexandria database).

Geometry as POSCAR:
```
TiMoN3
1.0
-1.966 4.637 0.578
-6.318 -3.653 0.367
1.631 -2.011 7.147
N Ti Mo
12 4 4
Cartesian
-1.095 1.452 5.814
-0.606 -0.652 3.790
-5.558 -2.479 2.278
-3.597 0.902 3.581
-4.145 -4.110 6.432
-6.004 0.258 1.631
-6.047 -0.375 4.301
-3.228 -1.299 1.494
-0.649 -1.286 6.460
-3.425 0.272 6.597
-3.056 -1.929 4.510
-2.508 3.083 1.659
-1.845 -0.443 5.365
-4.352 -2.594 0.483
-2.301 1.567 7.608
-4.808 -0.584 2.727
-1.751 -1.925 2.698
0.896 -1.417 4.965
-4.902 0.898 5.393
-7.549 0.390 3.126
```

## Properties
As for the total DFT energy (no corrections): -9.40 eV per atom. As for the formation energy without anion corrections: -662 meV per atom.



No. 2
# Ti2MoN

A relaxed Ti2MoN crystal (PBE, the Alexandria database).

Geometry as POSCAR:
```
Ti2MoN
1.0
5.806 0.000 0.000
0.000 5.806 0.000
2.903 2.903 3.710
Mo Ti N
2 4 2
Cartesian
0.000 0.000 0.000
5.806 2.903 1.855
2.029 4.354 0.928
7.257 6.679 2.783
4.354 4.932 2.783
3.776 1.451 0.928
2.903 5.806 1.855
2.903 2.903 0.000
```

## Properties
As for the total DFT energy (no corrections): -8.86 eV per atom. As for the formation energy without anion corrections: -128 meV per atom.



No. 3
# TiMoN3

A relaxed TiMoN3 crystal (PBE, the Alexandria database).

Geometry as POSCAR:
```
TiMoN3
1.0
11.420 0.000 0.700
4.559 4.547 -1.857
-4.559 4.547 1.857
Ti N Mo
4 12 4
Cartesian
2.605 3.672 -0.180
8.815 5.422 0.880
8.315 0.875 0.171
3.105 8.218 0.530
4.581 6.723 0.638
2.357 3.885 1.929
6.839 2.370 0.062
1.207 5.208 -0.278
1.129 2.177 -0.288
9.063 5.208 -1.229
7.002 5.267 0.152
1.292 8.373 -0.198
10.213 3.885 0.978
10.128 0.720 0.898
4.418 3.827 0.548
10.291 6.917 0.988
10.845 2.880 -0.403
0.575 6.214 1.103
6.285 3.823 1.453
5.135 5.270 -0.753
```

## Properties
As for the total DFT energy (no corrections): -9.36 eV per atom. As for the formation energy without anion corrections: -620 meV per atom.



No. 4
# TiMoN3

A relaxed TiMoN3 crystal (PBE, the Alexandria database).

Geometry as POSCAR:
```
TiMoN3
1.0
2.972 0.000 4.751
-1.486 2.573 4.751
-1.486 -2.573 4.751
N Ti Mo
6 2 2
Cartesian
1.381 -0.846 5.670
-1.591 0.846 8.045
1.528 0.955 8.045
0.063 -1.801 8.045
0.042 1.618 5.670
-1.423 -0.773 5.670
0.000 0.000 14.204
0.000 0.000 7.078
0.000 0.000 11.281
0.000 0.000 4.155
```

## Properties
As for the total DFT energy (no corrections): -9.39 eV per atom. As for the formation energy without anion corrections: -651 meV per atom.



No. 5
# TiMoN3

A relaxed TiMoN3 crystal (PBE, the Alexandria database).

Geometry as POSCAR:
```
TiMoN3
1.0
1.772 3.178 -4.974
-4.643 -2.760 2.967
-1.029 4.274 2.364
Mo Ti N
2 2 6
Cartesian
-4.056 -0.909 2.512
0.155 5.601 -2.155
-1.748 3.840 0.200
-2.153 0.852 0.157
-0.386 3.046 -3.040
-0.515 2.137 1.182
-4.557 1.798 2.668
0.656 2.894 -2.311
-3.515 1.647 3.397
0.000 0.000 0.000
```

## Properties
As for the total DFT energy (no corrections): -8.90 eV per atom. As for the formation energy without anion corrections: -158 meV per atom.



No. 6
# TiMoN3

A relaxed TiMoN3 crystal (PBE, the Alexandria database).

Geometry as POSCAR:
```
TiMoN3
1.0
2.841 -1.640 0.000
0.000 3.281 0.000
0.000 0.000 12.310
N Mo Ti
6 2 2
Cartesian
1.894 0.000 5.134
0.947 1.640 7.177
0.000 0.000 3.078
0.000 0.000 9.233
0.947 1.640 11.289
1.894 0.000 1.021
0.947 1.640 9.233
1.894 0.000 3.078
0.000 0.000 0.000
0.000 0.000 6.155
```

## Properties
As for the total DFT energy (no corrections): -9.24 eV per atom. As for the formation energy without anion corrections: -497 meV per atom.



No. 7
# TiMo2N

A relaxed TiMo2N crystal (PBE, the Alexandria database).

Geometry as POSCAR:
```
TiMo2N
1.0
-2.199 1.505 -0.918
-1.582 -0.967 -2.124
-6.085 -3.623 4.310
Ti N Mo
1 1 2
Cartesian
0.000 0.000 0.000
-4.933 -1.542 0.634
-5.341 -0.691 -1.320
-4.524 -2.393 2.588
```

## Properties
As for the total DFT energy (no corrections): -9.26 eV per atom. As for the formation energy without anion corrections: 207 meV per atom.



No. 8
# ZrTi2MoN

A relaxed ZrTi2MoN crystal (PBE, the Alexandria database).

Geometry as POSCAR:
```
ZrTi2MoN
1.0
4.093 0.000 0.000
0.000 4.093 0.000
0.000 0.000 4.581
Ti Mo Zr N
2 1 1 1
Cartesian
0.000 2.046 0.000
2.046 0.000 0.000
2.046 2.046 2.290
0.000 0.000 2.290
0.000 0.000 0.000
```

## Properties
As for the total DFT energy (no corrections): -9.38 eV per atom. As for the formation energy without anion corrections: -676 meV per atom.



No. 9
# TlMoN3

A relaxed TlMoN3 crystal (PBE, the Alexandria database).

Geometry as POSCAR:
```
TlMoN3
1.0
-2.526 -2.736 1.718
-1.284 -1.152 -3.721
2.965 -2.829 -0.147
Tl N Mo
1 3 1
Cartesian
0.000 0.000 0.000
-1.263 -1.368 0.859
-0.642 -0.576 -1.860
1.482 -1.415 -0.074
-0.422 -3.359 -1.075
```

## Properties
As for the total DFT energy (no corrections): -4.82 eV per atom. As for the formation energy without anion corrections: 2815 meV per atom.



No. 10
# TlMo2N

A relaxed TlMo2N crystal (PBE, the Alexandria database).

Geometry as POSCAR:
```
TlMo2N
1.0
-1.749 -4.284 -2.631
4.550 -2.534 1.102
-0.785 -5.337 3.827
Mo N Tl
4 2 2
Cartesian
2.154 -4.127 0.903
1.176 -6.958 2.470
-0.446 -3.655 -0.137
1.146 -9.571 1.359
2.582 -5.640 2.082
1.400 -3.409 -0.765
0.000 0.000 0.000
-0.567 -6.515 0.215
```

## Properties
As for the total DFT energy (no corrections): -7.45 eV per atom. As for the formation energy without anion corrections: 642 meV per atom. As for the energy above the most stable polymorph in this dataset: 0.0000 eV/atom.



No. 11
# TlMo2N

A relaxed TlMo2N crystal (PBE, the Alexandria database).

Geometry as POSCAR:
```
TlMo2N
1.0
0.000 3.125 3.125
3.125 0.000 3.125
3.125 3.125 0.000
Mo N Tl
2 1 1
Cartesian
1.563 1.563 1.563
4.688 4.688 4.688
0.000 0.000 0.000
3.125 3.125 3.125
```

## Properties
As for the total DFT energy (no corrections): -6.54 eV per atom. As for the formation energy without anion corrections: 1549 meV per atom. As for the energy above the most stable polymorph in this dataset: 0.9063 eV/atom.



No. 12
# Tl3MoN

A relaxed Tl3MoN crystal (PBE, the Alexandria database).

Geometry as POSCAR:
```
Tl3MoN
1.0
4.903 0.000 0.000
0.000 4.903 0.000
0.000 0.000 4.903
Tl N Mo
3 1 1
Cartesian
0.000 2.452 0.000
0.000 0.000 2.452
2.452 0.000 0.000
0.000 0.000 0.000
2.452 2.452 2.452
```

## Properties
As for the total DFT energy (no corrections): -3.87 eV per atom. As for the formation energy without anion corrections: 1378 meV per atom. As for the energy above the most stable polymorph in this dataset: 0.0000 eV/atom.